Entry from the Alexandria database: a relaxed structure of Ga2MoPH (PBE).

The value obtained for the total moment is 1.5 μB per cell. The value obtained for the energy is -19.958 eV per cell. The offset from the most stable computed form is 356 meV/atom. The value obtained for the density of states at the Fermi level is 3.519 states/eV per cell.

The space group is P4/mmm (No. 123) and the conventional cell measures 4.771, 4.771 and 4.559 Å, with angles of 90.00, 90.00 and 90.00 degrees. The inequivalent atoms are Ga at (0.000, 0.500, 0.000), Mo at (0.000, 0.000, 0.500), P at (0.000, 0.000, 0.000) and H at (0.500, 0.500, 0.500).

Entry from the Alexandria database: a relaxed structure of GaMo2HRh (PBE).

The value obtained for the total moment is 0.0 μB per cell. The value obtained for the energy is -35.679 eV per cell. The value obtained for the density of states at the Fermi level is 3.743 states/eV per cell.

The space group is P4/mmm (No. 123) and the conventional cell measures 3.795, 3.795 and 4.388 Å, with angles of 90.00, 90.00 and 90.00 degrees. The inequivalent atoms are Ga at (0.000, 0.000, 0.000), Mo at (0.000, 0.500, 0.500), H at (0.500, 0.500, 0.500) and Rh at (0.500, 0.500, 0.000).

Entry from the Alexandria database: a relaxed structure of GaMoHRh2 (PBE).

The value obtained for the total moment is 1.1 μB per cell. The value obtained for the energy is -32.382 eV per cell. The value obtained for the density of states at the Fermi level is 4.175 states/eV per cell.

The space group is P4/mmm (No. 123) and the conventional cell measures 3.924, 3.924 and 4.007 Å, with angles of 90.00, 90.00 and 90.00 degrees. The inequivalent atoms are Ga at (0.000, 0.000, 0.000), Mo at (0.500, 0.500, 0.000), H at (0.500, 0.500, 0.500) and Rh at (0.000, 0.500, 0.500).

Entry from the Alexandria database: a relaxed structure of GaMoHRu2 (PBE).

The value obtained for the total moment is 0.0 μB per cell. The value obtained for the energy is -35.354 eV per cell. The value obtained for the density of states at the Fermi level is 5.771 states/eV per cell.

The space group is P4/mmm (No. 123) and the conventional cell measures 3.990, 3.990 and 3.835 Å, with angles of 90.00, 90.00 and 90.00 degrees. The inequivalent atoms are Ga at (0.000, 0.000, 0.000), Mo at (0.500, 0.500, 0.000), H at (0.500, 0.500, 0.500) and Ru at (0.000, 0.500, 0.500).

Entry from the Alexandria database: a relaxed structure of Ga2SbMoH (PBE).

The value obtained for the total moment is 1.1 μB per cell. The value obtained for the energy is -21.047 eV per cell. The value obtained for the density of states at the Fermi level is 1.768 states/eV per cell.

The space group is P4/mmm (No. 123) and the conventional cell measures 4.984, 4.984 and 5.114 Å, with angles of 90.00, 90.00 and 90.00 degrees. The inequivalent atoms are Ga at (0.000, 0.500, 0.000), Sb at (0.000, 0.000, 0.500), Mo at (0.000, 0.000, 0.000) and H at (0.500, 0.500, 0.500).

Entry from the Alexandria database: a relaxed structure of GaMoHSe2 (PBE).

The value obtained for the total moment is 2.6 μB per cell. The value obtained for the energy is -22.616 eV per cell. The value obtained for the density of states at the Fermi level is 1.918 states/eV per cell.

The space group is P4/mmm (No. 123) and the conventional cell measures 5.021, 5.021 and 3.314 Å, with angles of 90.00, 90.00 and 90.00 degrees. The inequivalent atoms are Ga at (0.000, 0.000, 0.000), Mo at (0.500, 0.500, 0.500), H at (0.000, 0.000, 0.500) and Se at (0.000, 0.500, 0.000).

Entry from the Alexandria database: a relaxed structure of SrGa2MoH (PBE).

The value obtained for the total moment is 3.2 μB per cell. The value obtained for the energy is -15.621 eV per cell. The value obtained for the density of states at the Fermi level is 3.881 states/eV per cell.

The space group is P4/mmm (No. 123) and the conventional cell measures 5.701, 5.701 and 3.890 Å, with angles of 90.00, 90.00 and 90.00 degrees. The inequivalent atoms are Sr at (0.000, 0.000, 0.000), Ga at (0.000, 0.500, 0.000), Mo at (0.500, 0.500, 0.500) and H at (0.000, 0.000, 0.500).

Entry from the Alexandria database: a relaxed structure of TaGaMo2H (PBE).

The value obtained for the total moment is 0.0 μB per cell. The value obtained for the energy is -39.991 eV per cell. The value obtained for the density of states at the Fermi level is 2.570 states/eV per cell.

The space group is P4/mmm (No. 123) and the conventional cell measures 4.059, 4.059 and 4.056 Å, with angles of 90.00, 90.00 and 90.00 degrees. The inequivalent atoms are Ta at (0.000, 0.000, 0.000), Ga at (0.500, 0.500, 0.000), Mo at (0.000, 0.500, 0.500) and H at (0.000, 0.000, 0.500).

Entry from the Alexandria database: a relaxed structure of GaTc2MoH (PBE).

The value obtained for the total moment is 0.0 μB per cell. The value obtained for the energy is -37.446 eV per cell. The value obtained for the density of states at the Fermi level is 4.352 states/eV per cell.

The space group is P4/mmm (No. 123) and the conventional cell measures 3.979, 3.979 and 3.919 Å, with angles of 90.00, 90.00 and 90.00 degrees. The inequivalent atoms are Ga at (0.000, 0.000, 0.000), Tc at (0.000, 0.500, 0.500), Mo at (0.500, 0.500, 0.000) and H at (0.500, 0.500, 0.500).

Entry from the Alexandria database: a relaxed structure of GaTeMoH2 (PBE).

The value obtained for the total moment is 2.1 μB per cell. The value obtained for the energy is -21.320 eV per cell. The value obtained for the density of states at the Fermi level is 1.917 states/eV per cell.

The space group is P4/mmm (No. 123) and the conventional cell measures 3.914, 3.914 and 5.447 Å, with angles of 90.00, 90.00 and 90.00 degrees. The inequivalent atoms are Ga at (0.000, 0.000, 0.000), Te at (0.500, 0.500, 0.000), Mo at (0.500, 0.500, 0.500) and H at (0.000, 0.500, 0.500).

Entry from the Alexandria database: a relaxed structure of Ti2GaMoH (PBE).

The value obtained for the total moment is 0.0 μB per cell. The value obtained for the energy is -34.769 eV per cell. The value obtained for the density of states at the Fermi level is 2.101 states/eV per cell.

The space group is P4/mmm (No. 123) and the conventional cell measures 4.242, 4.242 and 3.637 Å, with angles of 90.00, 90.00 and 90.00 degrees. The inequivalent atoms are Ti at (0.000, 0.500, 0.000), Ga at (0.000, 0.000, 0.500), Mo at (0.500, 0.500, 0.500) and H at (0.500, 0.500, 0.000).

Entry from the Alexandria database: a relaxed structure of TiGaMo2H (PBE).

The value obtained for the total moment is 0.0 μB per cell. The value obtained for the energy is -36.762 eV per cell. The value obtained for the density of states at the Fermi level is 2.897 states/eV per cell.

The space group is P4/mmm (No. 123) and the conventional cell measures 3.974, 3.974 and 4.084 Å, with angles of 90.00, 90.00 and 90.00 degrees. The inequivalent atoms are Ti at (0.000, 0.000, 0.000), Ga at (0.500, 0.500, 0.000), Mo at (0.000, 0.500, 0.500) and H at (0.000, 0.000, 0.500).

What is the energy in the fourth record?
-35.354 eV per cell

Look up the energy of the second one.
-35.679 eV per cell

What is the total moment in the tenth record?
2.1 μB per cell

Which formula does entry 4 have?
GaMoHRu2